1.
First-principles (PBE-GGA) data for a geometry-optimized KRbCa2Hg structure, as listed in the Alexandria database.

Values from the calculation:
* uncorrected energy: -1.320 eV/atom
* crystal system: tetragonal
* space-group type: P4/mmm, No. 123
* size of the total moment: 0.000 μB per atom

POSCAR file:
```
KRbCa2Hg
1.0
6.075 0.000 0.000
0.000 6.075 0.000
0.000 0.000 6.971
K Ca Hg Rb
1 2 1 1
direct
0.000 0.000 0.500
0.000 0.500 0.000
0.500 0.000 0.000
0.000 0.000 0.000
0.500 0.500 0.500
```



2.
First-principles (PBE-GGA) data for a geometry-optimized KCa2HgRh structure, as listed in the Alexandria database.

Values from the calculation:
* uncorrected energy: -2.764 eV/atom
* crystal system: tetragonal
* space-group type: P4/mmm, No. 123
* size of the total moment: 0.000 μB per atom

POSCAR file:
```
KCa2HgRh
1.0
-2.776 -1.329 -4.503
4.655 -1.461 -2.439
-0.620 -5.156 1.904
K Ca Rh Hg
1 2 1 1
direct
0.500 0.500 0.500
0.000 0.500 0.000
0.500 0.000 0.000
0.000 0.000 0.000
0.000 0.000 0.500
```



3.
First-principles (PBE-GGA) data for a geometry-optimized K2CaHgRh structure, as listed in the Alexandria database.

Values from the calculation:
* uncorrected energy: -2.191 eV/atom
* crystal system: tetragonal
* space-group type: P4/mmm, No. 123
* size of the total moment: 0.000 μB per atom

POSCAR file:
```
K2CaHgRh
1.0
-3.054 2.674 -4.673
-0.824 -4.714 -2.158
-5.296 -0.522 3.163
K Ca Rh Hg
2 1 1 1
direct
0.000 0.000 0.500
0.500 0.000 0.000
0.000 0.500 0.000
0.000 0.000 0.000
0.500 0.500 0.500
```



4.
First-principles (PBE-GGA) data for a geometry-optimized KCaHg2Rh structure, as listed in the Alexandria database.

Values from the calculation:
* uncorrected energy: -2.434 eV/atom
* crystal system: tetragonal
* space-group type: P4/mmm, No. 123
* size of the total moment: 0.000 μB per atom

POSCAR file:
```
KCaHg2Rh
1.0
5.440 0.000 0.000
0.000 5.440 0.000
0.000 0.000 5.165
K Ca Rh Hg
1 1 1 2
direct
0.500 0.500 0.500
0.000 0.000 0.500
0.000 0.000 0.000
0.000 0.500 0.000
0.500 0.000 0.000
```



5.
First-principles (PBE-GGA) data for a geometry-optimized KCaHgSb structure, as listed in the Alexandria database.

Values from the calculation:
* uncorrected energy: -2.459 eV/atom
* crystal system: cubic
* formation energy from raw total energies: -578.2 meV per atom
* space-group type: F-43m, No. 216
* size of the total moment: 0.000 μB per atom

POSCAR file:
```
KCaHgSb
1.0
-0.732 -1.361 5.395
-5.020 -1.752 1.796
-0.739 -5.367 1.465
K Sb Ca Hg
1 1 1 1
direct
0.750 0.750 0.750
0.000 0.000 0.000
0.250 0.250 0.250
0.500 0.500 0.500
```



6.
First-principles (PBE-GGA) data for a geometry-optimized KCa2Sn2Hg2 structure, as listed in the Alexandria database.

Values from the calculation:
* uncorrected energy: -2.360 eV/atom
* crystal system: trigonal
* space-group type: R-3m, No. 166
* size of the total moment: 0.000 μB per atom

POSCAR file:
```
KCa2Sn2Hg2
1.0
5.116 0.000 0.000
2.558 4.431 0.000
2.558 1.477 10.060
K Ca Sn Hg
1 2 2 2
direct
0.000 0.000 0.000
0.135 0.135 0.596
0.865 0.865 0.404
0.750 0.750 0.749
0.250 0.250 0.251
0.560 0.560 0.320
0.440 0.440 0.680
```



7.
First-principles (PBE-GGA) data for a geometry-optimized KCaSnHg structure, as listed in the Alexandria database.

Values from the calculation:
* uncorrected energy: -2.138 eV/atom
* crystal system: cubic
* space-group type: F-43m, No. 216
* size of the total moment: 0.000 μB per atom

POSCAR file:
```
KCaSnHg
1.0
5.608 0.000 0.000
2.804 4.857 0.000
2.804 1.619 4.579
K Ca Hg Sn
1 1 1 1
direct
0.000 0.000 0.000
0.500 0.500 0.500
0.250 0.250 0.250
0.750 0.750 0.750
```



8.
First-principles (PBE-GGA) data for a geometry-optimized KSr2CaHg structure, as listed in the Alexandria database.

Values from the calculation:
* uncorrected energy: -1.480 eV/atom
* crystal system: tetragonal
* space-group type: P4/mmm, No. 123
* size of the total moment: 0.000 μB per atom

POSCAR file:
```
KSr2CaHg
1.0
6.406 0.000 0.000
0.000 6.406 0.000
0.000 0.000 6.162
K Sr Ca Hg
1 2 1 1
direct
0.500 0.500 0.500
0.000 0.500 0.000
0.500 0.000 0.000
0.000 0.000 0.500
0.000 0.000 0.000
```



9.
First-principles (PBE-GGA) data for a geometry-optimized KCaHgTe2 structure, as listed in the Alexandria database.

Values from the calculation:
* uncorrected energy: -2.745 eV/atom
* crystal system: monoclinic
* formation energy from raw total energies: -808.4 meV per atom
* space-group type: P2/c, No. 13
* size of the total moment: 0.000 μB per atom

POSCAR file:
```
KCaHgTe2
1.0
5.859 0.000 0.000
0.000 7.536 0.589
0.000 -1.687 8.393
K Ca Hg Te
2 2 2 4
direct
0.085 0.500 0.750
0.915 0.500 0.250
0.485 0.000 0.250
0.515 0.000 0.750
0.000 0.000 0.000
0.000 0.000 0.500
0.635 0.711 0.976
0.635 0.289 0.524
0.365 0.711 0.476
0.365 0.289 0.024
```



10.
First-principles (PBE-GGA) data for a geometry-optimized KCaTlHg structure, as listed in the Alexandria database.

Values from the calculation:
* uncorrected energy: -1.635 eV/atom
* crystal system: cubic
* space-group type: F-43m, No. 216
* size of the total moment: 0.000 μB per atom

POSCAR file:
```
KCaTlHg
1.0
-5.272 0.518 -1.990
-4.401 -1.525 3.215
-3.452 3.947 2.127
K Tl Ca Hg
1 1 1 1
direct
0.000 0.000 0.000
0.250 0.250 0.250
0.500 0.500 0.500
0.750 0.750 0.750
```



11.
First-principles (PBE-GGA) data for a geometry-optimized CaLa2Hg2 structure, as listed in the Alexandria database.

Values from the calculation:
* uncorrected energy: -2.609 eV/atom
* crystal system: tetragonal
* space-group type: I4/mmm, No. 139
* size of the total moment: 0.000 μB per atom
* energy above the lowest structure with this stoichiometry: 1.52 eV per formula unit

POSCAR file:
```
CaLa2Hg2
1.0
5.599 0.000 0.000
0.000 5.599 0.000
2.799 2.799 5.628
Ca Hg La
1 2 2
direct
0.000 0.000 0.000
0.750 0.250 0.500
0.250 0.750 0.500
0.366 0.366 0.268
0.634 0.634 0.732
```



12.
First-principles (PBE-GGA) data for a geometry-optimized Ca2LaHg structure, as listed in the Alexandria database.

Values from the calculation:
* uncorrected energy: -2.355 eV/atom
* crystal system: tetragonal
* space-group type: I-42d, No. 122
* size of the total moment: 0.222 μB per atom

POSCAR file:
```
Ca2LaHg
1.0
9.287 0.000 0.000
0.000 9.287 0.000
4.643 4.643 3.379
Ca Hg La
4 2 2
direct
0.688 0.125 0.250
0.062 0.625 0.250
0.375 0.312 0.750
0.875 0.938 0.750
0.000 0.000 0.000
0.750 0.250 0.500
0.500 0.500 0.000
0.250 0.750 0.500
```